Nd4InRu2 | GGA-PBE | relaxed

Summary:
energy of formation from the pure elements	-205.4	meV/atom
crystal system	triclinic
calculated total energy	-83.6	eV for the cell shown

Unit cell a=8.1557 b=9.1585 c=7.1618 alpha=112.83 beta=104.23 gamma=117.82
Positions (direct):
1 Nd 0.5004 0.6462 0.8354
2 Nd 0.7976 0.1137 0.7604
3 Nd 0.3921 0.5517 0.2516
4 Nd 0.2324 0.1371 0.6679
5 Nd 0.8310 0.5463 0.0991
6 Nd 0.3683 0.9122 0.2057
7 Nd 0.8760 0.6828 0.6506
8 Nd 0.8875 0.2677 0.3617
9 Ru 0.5643 0.3385 0.5634
10 Ru 0.0677 0.5045 0.8471
11 Ru 0.7729 0.8859 0.3301
12 Ru 0.5101 0.2200 0.1027
13 In 0.1347 0.1143 0.1710
14 In 0.3148 0.8291 0.6533



Nd6In3Ru | GGA-PBE | relaxed

Summary:
energy of formation from the pure elements	-315.5	meV/atom
crystal system	monoclinic
excess energy over the best structure of this formula in the dataset	0.0	meV per atom
calculated total energy	-98.5	eV for the cell shown

Unit cell a=5.4373 b=9.4664 c=11.7069 alpha=107.41 beta=90.00 gamma=90.00
Positions (direct):
1 Nd 0.2500 0.1243 0.1497
2 Nd 0.7500 0.3101 0.3361
3 Nd 0.7500 0.5411 0.9151
4 Nd 0.2500 0.4589 0.0849
5 Nd 0.2500 0.0994 0.8561
6 Nd 0.7500 0.7849 0.5017
7 Nd 0.2500 0.2151 0.4983
8 Nd 0.2500 0.6899 0.6639
9 Nd 0.7500 0.9006 0.1439
10 Nd 0.7500 0.8757 0.8503
11 Nd 0.7500 0.1495 0.6731
12 Nd 0.2500 0.8505 0.3269
13 In 0.2500 0.5119 0.3769
14 In 0.7500 0.2304 0.0266
15 In 0.7500 0.4881 0.6231
16 In 0.2500 0.7696 0.9734
17 In 0.7500 0.5926 0.2190
18 In 0.2500 0.4074 0.7810
19 Ru 0.7500 0.0370 0.4056
20 Ru 0.2500 0.9630 0.5944



Nd5In2Ru | GGA-PBE | relaxed

Summary:
energy of formation from the pure elements	-342.8	meV/atom
crystal system	orthorhombic
excess energy over the best structure of this formula in the dataset	0.0	meV per atom
calculated total energy	-82.7	eV for the cell shown

Unit cell a=4.8275 b=8.0095 c=12.4657 alpha=90.00 beta=90.00 gamma=90.00
Positions (direct):
1 In 0.5000 0.5759 0.1682
2 In 0.5000 0.0759 0.3318
3 In 0.5000 0.4241 0.8318
4 In 0.5000 0.9241 0.6682
5 Ru 0.0000 0.0000 0.0000
6 Ru 0.0000 0.5000 0.5000
7 Nd 0.0000 0.6374 0.7022
8 Nd 0.0000 0.3626 0.2978
9 Nd 0.5000 0.6841 0.4298
10 Nd 0.5000 0.3159 0.5702
11 Nd 0.0000 0.0000 0.5000
12 Nd 0.0000 0.5000 0.0000
13 Nd 0.0000 0.1374 0.7978
14 Nd 0.5000 0.8159 0.9298
15 Nd 0.5000 0.1841 0.0702
16 Nd 0.0000 0.8626 0.2022



Nd7InRu2 | GGA-PBE | relaxed

Summary:
energy of formation from the pure elements	-49.2	meV/atom
crystal system	orthorhombic
calculated total energy	-55.2	eV for the cell shown

Unit cell a=5.3103 b=8.3704 c=8.3704 alpha=113.13 beta=90.00 gamma=90.00
Positions (direct):
1 Nd 0.5000 0.6867 0.9458
2 Nd 0.5000 0.3133 0.0542
3 Nd 0.5000 0.9458 0.6867
4 Nd 0.0000 0.2792 0.7208
5 Nd 0.5000 0.0542 0.3133
6 Nd 0.0000 0.7208 0.2792
7 Nd 0.5000 0.5000 0.5000
8 Ru 0.5000 0.3023 0.6977
9 Ru 0.5000 0.6977 0.3023
10 In 0.0000 0.0000 0.0000



NdInRu | GGA-PBE | relaxed

Summary:
energy of formation from the pure elements	-204.4	meV/atom
crystal system	orthorhombic
calculated total energy	-34.8	eV for the cell shown

Unit cell a=4.1247 b=6.2077 c=6.6833 alpha=117.67 beta=107.97 gamma=90.00
Positions (direct):
1 Ru 0.3879 0.8879 0.7757
2 Ru 0.6121 0.1121 0.2243
3 Nd 0.2868 0.2868 0.5737
4 Nd 0.7132 0.7132 0.4263
5 In 0.0000 0.2500 0.0000
6 In 0.0000 0.7500 0.0000



Nd5In2Ru | GGA-PBE | relaxed

Summary:
energy of formation from the pure elements	-181.3	meV/atom
crystal system	tetragonal
excess energy over the best structure of this formula in the dataset	161.6	meV per atom
calculated total energy	-40.0	eV for the cell shown

Unit cell a=7.2120 b=7.2121 c=6.8378 alpha=121.82 beta=121.82 gamma=90.01
Positions (direct):
1 Nd 0.7335 0.2397 0.9732
2 Nd 0.7336 0.7336 0.9733
3 Nd 0.2397 0.7335 0.9732
4 Nd 0.2396 0.2397 0.9730
5 Nd 0.7597 0.7597 0.5196
6 In 0.7307 0.2308 0.4616
7 In 0.2308 0.7307 0.4616
8 Ru 0.1094 0.1094 0.2186



NdInRu | GGA-PBE | relaxed

Summary:
energy of formation from the pure elements	-11.4	meV/atom
crystal system	orthorhombic
calculated total energy	-33.6	eV for the cell shown

Unit cell a=5.3477 b=5.3477 c=5.9749 alpha=105.12 beta=105.12 gamma=114.65
Positions (direct):
1 In 0.3675 0.6325 0.5000
2 In 0.6175 0.3825 0.0000
3 Nd 0.7333 0.2667 0.5000
4 Nd 0.9833 0.0167 0.0000
5 Ru 0.3057 0.6943 0.0000
6 Ru 0.0557 0.9443 0.5000



Nd6InRu2 | GGA-PBE | relaxed

Summary:
energy of formation from the pure elements	-209.1	meV/atom
crystal system	monoclinic
excess energy over the best structure of this formula in the dataset	67.5	meV per atom
calculated total energy	-51.8	eV for the cell shown

Unit cell a=5.2042 b=5.8596 c=9.4321 alpha=78.71 beta=90.00 gamma=116.36
Positions (direct):
1 Nd 0.9666 0.9332 0.8482
2 Nd 0.7040 0.4080 0.1636
3 Nd 0.2960 0.5920 0.8364
4 Nd 0.0334 0.0668 0.1518
5 Nd 0.6656 0.3312 0.6185
6 Nd 0.3344 0.6688 0.3815
7 Ru 0.6157 0.2313 0.9048
8 Ru 0.3843 0.7687 0.0952
9 In 0.0000 0.0000 0.5000



Nd3InRu | GGA-PBE | relaxed

Summary:
energy of formation from the pure elements	-220.7	meV/atom
crystal system	triclinic
excess energy over the best structure of this formula in the dataset	94.8	meV per atom
calculated total energy	-54.8	eV for the cell shown

Unit cell a=8.1645 b=7.6909 c=8.2051 alpha=60.02 beta=43.38 gamma=59.35
Positions (direct):
1 Nd 0.0900 0.5812 0.3543
2 Nd 0.0678 0.0518 0.3526
3 Nd 0.9752 0.3612 0.9106
4 Nd 0.5447 0.3523 0.8308
5 Nd 0.5211 0.0297 0.4416
6 Nd 0.9766 0.7737 0.9179
7 In 0.5857 0.8110 0.8725
8 In 0.4835 0.5673 0.4088
9 Ru 0.1257 0.9395 0.0112
10 Ru 0.0127 0.1819 0.6605



Nd3InRu | GGA-PBE | relaxed

Summary:
energy of formation from the pure elements	-315.4	meV/atom
crystal system	orthorhombic
excess energy over the best structure of this formula in the dataset	0.0	meV per atom
calculated total energy	-55.8	eV for the cell shown

Unit cell a=6.0481 b=6.0481 c=8.8633 alpha=102.44 beta=102.44 gamma=111.63
Positions (direct):
1 Nd 0.0853 0.1960 0.2813
2 Nd 0.6960 0.5853 0.2813
3 Nd 0.7005 0.2005 0.9009
4 Nd 0.2995 0.7995 0.0991
5 Nd 0.9147 0.8040 0.7187
6 Nd 0.3040 0.4147 0.7187
7 In 0.7052 0.2052 0.5000
8 In 0.2948 0.7948 0.5000
9 Ru 0.2500 0.2500 0.0000
10 Ru 0.7500 0.7500 0.0000



Nd5InRu2 | GGA-PBE | relaxed

Summary:
energy of formation from the pure elements	-290.0	meV/atom
crystal system	tetragonal
calculated total energy	-94.9	eV for the cell shown

Unit cell a=7.9922 b=7.9922 c=8.9979 alpha=116.37 beta=116.37 gamma=90.00
Positions (direct):
1 Nd 0.5284 0.7075 0.7358
2 Nd 0.7075 0.2075 0.7358
3 Nd 0.9716 0.4716 0.2642
4 Nd 0.7925 0.9716 0.2642
5 Nd 0.5000 0.5000 0.0000
6 Nd 0.2925 0.7925 0.2642
7 Nd 0.0000 0.0000 0.0000
8 Nd 0.4716 0.2925 0.2642
9 Nd 0.0284 0.5284 0.7358
10 Nd 0.2075 0.0284 0.7358
11 Ru 0.8582 0.6418 0.0000
12 Ru 0.1418 0.3582 0.0000
13 Ru 0.3582 0.8582 0.0000
14 Ru 0.6418 0.1418 0.0000
15 In 0.2500 0.2500 0.5000
16 In 0.7500 0.7500 0.5000



Nd4In2Ru | GGA-PBE | relaxed

Summary:
energy of formation from the pure elements	-350.6	meV/atom
crystal system	monoclinic
excess energy over the best structure of this formula in the dataset	0.0	meV per atom
calculated total energy	-36.3	eV for the cell shown

Unit cell a=4.9245 b=6.2862 c=7.5858 alpha=80.89 beta=71.06 gamma=66.94
Positions (direct):
1 Nd 0.3357 0.2846 0.0440
2 Nd 0.6643 0.7154 0.9560
3 Nd 0.9272 0.7863 0.3594
4 Nd 0.0728 0.2137 0.6406
5 In 0.6610 0.3525 0.3255
6 In 0.3390 0.6475 0.6745
7 Ru 0.0000 0.0000 0.0000



NdInRu | GGA-PBE | relaxed

Summary:
energy of formation from the pure elements	-177.0	meV/atom
crystal system	tetragonal
calculated total energy	-17.3	eV for the cell shown

Unit cell a=3.4318 b=3.4318 c=6.2446 alpha=105.95 beta=105.95 gamma=90.00
Positions (direct):
1 Nd 0.0207 0.0207 0.0413
2 In 0.3021 0.3021 0.6042
3 Ru 0.6772 0.6772 0.3544



Nd7In2Ru2 | GGA-PBE | relaxed

Summary:
energy of formation from the pure elements	-210.3	meV/atom
crystal system	orthorhombic
calculated total energy	-59.7	eV for the cell shown

Unit cell a=7.0389 b=7.2600 c=7.0389 alpha=90.00 beta=108.01 gamma=90.00
Positions (direct):
1 In 0.1719 0.5000 0.1719
2 In 0.8281 0.5000 0.8281
3 Nd 0.5000 0.7563 0.5000
4 Nd 0.0000 0.7487 0.5000
5 Nd 0.5000 0.2513 0.0000
6 Nd 0.0000 0.2513 0.5000
7 Nd 0.5000 0.2437 0.5000
8 Nd 0.5000 0.7487 0.0000
9 Nd 0.0000 0.0000 0.0000
10 Ru 0.2949 0.0000 0.7051
11 Ru 0.7051 0.0000 0.2949



Nd3In2Ru | GGA-PBE | relaxed

Summary:
energy of formation from the pure elements	-315.5	meV/atom
crystal system	monoclinic
excess energy over the best structure of this formula in the dataset	0.0	meV per atom
calculated total energy	-61.9	eV for the cell shown

Unit cell a=6.7279 b=6.7279 c=10.3767 alpha=58.92 beta=58.92 gamma=84.85
Positions (direct):
1 Ru 0.4066 0.5934 0.7500
2 Ru 0.5934 0.4066 0.2500
3 Nd 0.9031 0.2414 0.0348
4 Nd 0.7586 0.0969 0.4652
5 Nd 0.0969 0.7586 0.9652
6 Nd 0.2414 0.9031 0.5348
7 Nd 0.2930 0.7070 0.2500
8 Nd 0.7070 0.2930 0.7500
9 In 0.6695 0.7268 0.8707
10 In 0.3305 0.2732 0.1293
11 In 0.7268 0.6695 0.3707
12 In 0.2732 0.3305 0.6293



Nd5InRu | GGA-PBE | relaxed

Summary:
energy of formation from the pure elements	-132.4	meV/atom
crystal system	monoclinic
calculated total energy	-73.6	eV for the cell shown

Unit cell a=6.1962 b=6.1962 c=12.0320 alpha=76.64 beta=76.64 gamma=76.96
Positions (direct):
1 Nd 0.0734 0.4158 0.8738
2 Nd 0.7932 0.4527 0.4416
3 Nd 0.0016 0.9984 0.7500
4 Nd 0.9984 0.0016 0.2500
5 Nd 0.4527 0.7932 0.9416
6 Nd 0.9266 0.5842 0.1262
7 Nd 0.2068 0.5473 0.5584
8 Nd 0.5473 0.2068 0.0584
9 Nd 0.4158 0.0734 0.3738
10 Nd 0.5842 0.9266 0.6262
11 In 0.5899 0.4101 0.7500
12 In 0.4101 0.5899 0.2500
13 Ru 0.0000 0.0000 0.0000
14 Ru 0.0000 0.0000 0.5000



Nd3InRu | GGA-PBE | relaxed

Summary:
energy of formation from the pure elements	-144.0	meV/atom
crystal system	cubic
excess energy over the best structure of this formula in the dataset	171.5	meV per atom
calculated total energy	-27.0	eV for the cell shown

Unit cell a=5.4451 b=5.4451 c=5.4451 alpha=90.00 beta=90.00 gamma=90.00
Positions (direct):
1 Ru 0.0000 0.0000 0.0000
2 Nd 0.0000 0.5000 0.0000
3 Nd 0.5000 0.0000 0.0000
4 Nd 0.0000 0.0000 0.5000
5 In 0.5000 0.5000 0.5000



Nd5In4Ru | GGA-PBE | relaxed

Summary:
energy of formation from the pure elements	-422.9	meV/atom
crystal system	tetragonal
calculated total energy	-48.3	eV for the cell shown

Unit cell a=3.5538 b=3.5538 c=21.8808 alpha=90.00 beta=90.00 gamma=90.00
Positions (direct):
1 Nd 0.5000 0.5000 0.5000
2 Nd 0.5000 0.5000 0.2937
3 Nd 0.5000 0.5000 0.7063
4 Nd 0.5000 0.5000 0.9216
5 Nd 0.5000 0.5000 0.0784
6 In 0.0000 0.0000 0.1897
7 In 0.0000 0.0000 0.6034
8 In 0.0000 0.0000 0.3966
9 In 0.0000 0.0000 0.8103
10 Ru 0.0000 0.0000 0.0000



Nd3InRu2 | GGA-PBE | relaxed

Summary:
energy of formation from the pure elements	-232.3	meV/atom
crystal system	tetragonal
calculated total energy	-37.0	eV for the cell shown

Unit cell a=3.5469 b=3.5469 c=11.6408 alpha=90.00 beta=90.00 gamma=90.00
Positions (direct):
1 Ru 0.5000 0.5000 0.8455
2 Ru 0.5000 0.5000 0.1545
3 Nd 0.0000 0.0000 0.7022
4 Nd 0.0000 0.0000 0.0000
5 Nd 0.0000 0.0000 0.2978
6 In 0.5000 0.5000 0.5000



Nd6InRu2 | GGA-PBE | relaxed

Summary:
energy of formation from the pure elements	-276.6	meV/atom
crystal system	orthorhombic
excess energy over the best structure of this formula in the dataset	0.0	meV per atom
calculated total energy	-104.8	eV for the cell shown

Unit cell a=8.7589 b=8.7589 c=8.7589 alpha=104.49 beta=111.12 gamma=112.92
Positions (direct):
1 Nd 0.8963 0.7132 0.1831
2 Nd 0.3123 0.6403 0.3279
3 Nd 0.7965 0.7624 0.5589
4 Nd 0.6877 0.0156 0.3279
5 Nd 0.6877 0.3597 0.6721
6 Nd 0.1037 0.2868 0.8169
7 Nd 0.2035 0.7624 0.9659
8 Nd 0.4699 0.2868 0.1831
9 Nd 0.3123 0.9844 0.6721
10 Nd 0.2035 0.2376 0.4411
11 Nd 0.7965 0.2376 0.0341
12 Nd 0.5301 0.7132 0.8169
13 In 0.0000 0.0000 0.0000
14 In 0.0000 0.5000 0.5000
15 Ru 0.6778 0.0000 0.6778
16 Ru 0.5000 0.6251 0.1251
17 Ru 0.3222 0.0000 0.3222
18 Ru 0.5000 0.3749 0.8749